# Sr3ZrBe PBE optimized geometry
data_Sr3ZrBe
_chemical_formula_sum 'Sr3 Zr1 Be1'
_cell_length_a 5.8646
_cell_length_b 5.8646
_cell_length_c 5.8646
_cell_angle_alpha 90.00
_cell_angle_beta 90.00
_cell_angle_gamma 90.00
_space_group_name_H-M_alt 'P 1'
_space_group_IT_number 1
loop_
_space_group_symop_operation_xyz
'x,y,z'
loop_
_atom_site_label
_atom_site_fract_x
_atom_site_fract_y
_atom_site_fract_z
Sr1 0.0000 0.5000 0.0000
Sr2 0.5000 0.0000 0.0000
Sr3 0.0000 0.0000 0.5000
Zr1 0.5000 0.5000 0.5000
Be1 0.0000 0.0000 0.0000
# ΔE_f: 0.81 eV/atom
# space-group type: Pm-3m
# spin magnetization: 3.1 μB per formula unit
# E above lowest polymorph: 0 meV/atom

# PaAl2Ge PBE optimized geometry
data_PaAl2Ge
_chemical_formula_sum 'Pa1 Al2 Ge1'
_cell_length_a 4.4618
_cell_length_b 4.2045
_cell_length_c 4.2045
_cell_angle_alpha 90.00
_cell_angle_beta 90.00
_cell_angle_gamma 90.00
_space_group_name_H-M_alt 'P 1'
_space_group_IT_number 1
loop_
_space_group_symop_operation_xyz
'x,y,z'
loop_
_atom_site_label
_atom_site_fract_x
_atom_site_fract_y
_atom_site_fract_z
Ge1 0.5000 0.0000 0.0000
Pa1 0.5000 0.5000 0.5000
Al1 0.0000 0.0000 0.5000
Al2 0.0000 0.5000 0.0000
# ΔE_f: -0.35 eV/atom
# space-group type: P4/mmm
# spin magnetization: 0.0 μB per formula unit
# E above lowest polymorph: 0 meV/atom

# VTe2H PBE optimized geometry
data_VTe2H
_chemical_formula_sum 'V1 Te2 H1'
_cell_length_a 3.4570
_cell_length_b 3.4570
_cell_length_c 7.9008
_cell_angle_alpha 77.58
_cell_angle_beta 77.58
_cell_angle_gamma 59.99
_space_group_name_H-M_alt 'P 1'
_space_group_IT_number 1
loop_
_space_group_symop_operation_xyz
'x,y,z'
loop_
_atom_site_label
_atom_site_fract_x
_atom_site_fract_y
_atom_site_fract_z
V1 0.4583 0.4583 0.6249
Te1 0.0450 0.0450 0.8693
Te2 0.2050 0.2050 0.3807
H1 0.7917 0.7917 0.6251
# space-group type: Cm
# spin magnetization: 0.0 μB per formula unit
# E above lowest polymorph: 0 meV/atom

# Cd3Sn12P5 PBE optimized geometry
data_Cd3Sn12P5
_chemical_formula_sum 'Cd12 Sn48 P20'
_cell_length_a 14.3717
_cell_length_b 14.3717
_cell_length_c 14.3717
_cell_angle_alpha 109.47
_cell_angle_beta 109.47
_cell_angle_gamma 109.47
_space_group_name_H-M_alt 'P 1'
_space_group_IT_number 1
loop_
_space_group_symop_operation_xyz
'x,y,z'
loop_
_atom_site_label
_atom_site_fract_x
_atom_site_fract_y
_atom_site_fract_z
Cd1 0.7500 0.3750 0.1250
Cd2 0.8750 0.7500 0.1250
Cd3 0.3750 0.7500 0.6250
Cd4 0.2500 0.1250 0.3750
Cd5 0.8750 0.1250 0.2500
Cd6 0.3750 0.6250 0.2500
Cd7 0.6250 0.3750 0.7500
Cd8 0.1250 0.8750 0.7500
Cd9 0.7500 0.8750 0.6250
Cd10 0.6250 0.2500 0.3750
Cd11 0.1250 0.2500 0.8750
Cd12 0.2500 0.6250 0.8750
P1 0.1250 0.3750 0.2500
P2 0.0000 0.5000 0.0000
P3 0.0000 0.0000 0.0000
P4 0.3750 0.2500 0.1250
P5 0.5000 0.0000 0.5000
P6 0.5000 0.5000 0.0000
P7 0.1250 0.7500 0.3750
P8 0.7500 0.1250 0.8750
P9 0.7500 0.6250 0.3750
P10 0.3750 0.1250 0.7500
P11 0.6250 0.8750 0.2500
P12 0.5000 0.5000 0.5000
P13 0.5000 0.0000 0.0000
P14 0.0000 0.0000 0.5000
P15 0.2500 0.3750 0.6250
P16 0.2500 0.8750 0.1250
P17 0.0000 0.5000 0.5000
P18 0.8750 0.2500 0.6250
P19 0.6250 0.7500 0.8750
P20 0.8750 0.6250 0.7500
Sn1 0.7256 0.1247 0.0486
Sn2 0.3230 0.5486 0.4239
Sn3 0.9514 0.3753 0.2744
Sn4 0.5486 0.2256 0.1247
Sn5 0.6009 0.7256 0.6770
Sn6 0.9514 0.5761 0.1770
Sn7 0.3230 0.7744 0.3991
Sn8 0.0761 0.8991 0.1247
Sn9 0.5761 0.9514 0.6770
Sn10 0.7256 0.6009 0.1770
Sn11 0.7744 0.4514 0.3753
Sn12 0.8230 0.9239 0.0486
Sn13 0.1247 0.7256 0.5486
Sn14 0.3753 0.4239 0.1009
Sn15 0.1009 0.9239 0.3753
Sn16 0.3991 0.1247 0.5761
Sn17 0.1009 0.1770 0.2256
Sn18 0.4514 0.6770 0.0761
Sn19 0.8230 0.8991 0.2744
Sn20 0.1247 0.3991 0.0761
Sn21 0.3753 0.9514 0.7744
Sn22 0.5761 0.6247 0.3991
Sn23 0.9239 0.8230 0.5486
Sn24 0.7744 0.3230 0.8991
Sn25 0.4239 0.3753 0.6009
Sn26 0.0761 0.1770 0.4514
Sn27 0.2256 0.6770 0.1009
Sn28 0.1770 0.1009 0.7256
Sn29 0.6247 0.0486 0.2256
Sn30 0.8753 0.6009 0.9239
Sn31 0.5486 0.3230 0.9239
Sn32 0.6009 0.8753 0.4239
Sn33 0.8991 0.8230 0.7744
Sn34 0.8991 0.0761 0.6247
Sn35 0.8753 0.2744 0.4514
Sn36 0.1770 0.0761 0.9514
Sn37 0.6247 0.5761 0.8991
Sn38 0.4239 0.0486 0.3230
Sn39 0.2744 0.3991 0.8230
Sn40 0.2256 0.5486 0.6247
Sn41 0.9239 0.1009 0.8753
Sn42 0.6770 0.2256 0.6009
Sn43 0.4514 0.7744 0.8753
Sn44 0.0486 0.4239 0.8230
Sn45 0.3991 0.2744 0.3230
Sn46 0.0486 0.6247 0.7256
Sn47 0.6770 0.4514 0.5761
Sn48 0.2744 0.8753 0.9514
# ΔE_f: 0.17 eV/atom
# space-group type: Ia-3d
# spin magnetization: 0.0 μB per formula unit

# Ac2PmCd3 PBE optimized geometry
data_Ac2PmCd3
_chemical_formula_sum 'Ac2 Pm1 Cd3'
_cell_length_a 3.9837
_cell_length_b 3.9837
_cell_length_c 12.0519
_cell_angle_alpha 90.00
_cell_angle_beta 90.00
_cell_angle_gamma 90.00
_space_group_name_H-M_alt 'P 1'
_space_group_IT_number 1
loop_
_space_group_symop_operation_xyz
'x,y,z'
loop_
_atom_site_label
_atom_site_fract_x
_atom_site_fract_y
_atom_site_fract_z
Ac1 0.5000 0.5000 0.8245
Ac2 0.5000 0.5000 0.1755
Pm1 0.5000 0.5000 0.5000
Cd1 0.0000 0.0000 0.0000
Cd2 0.0000 0.0000 0.6455
Cd3 0.0000 0.0000 0.3545
# ΔE_f: -0.29 eV/atom
# space-group type: P4/mmm
# spin magnetization: 0.0 μB per formula unit

# HfZn3Te PBE optimized geometry
data_HfZn3Te
_chemical_formula_sum 'Hf1 Zn3 Te1'
_cell_length_a 5.0635
_cell_length_b 5.0635
_cell_length_c 5.0635
_cell_angle_alpha 90.00
_cell_angle_beta 90.00
_cell_angle_gamma 90.00
_space_group_name_H-M_alt 'P 1'
_space_group_IT_number 1
loop_
_space_group_symop_operation_xyz
'x,y,z'
loop_
_atom_site_label
_atom_site_fract_x
_atom_site_fract_y
_atom_site_fract_z
Zn1 0.0000 0.5000 0.0000
Zn2 0.0000 0.0000 0.5000
Zn3 0.5000 0.0000 0.0000
Te1 0.0000 0.0000 0.0000
Hf1 0.5000 0.5000 0.5000
# space-group type: Pm-3m
# formation energy from raw total energies: 1049 meV/atom
# spin magnetization: 0.0 μB per formula unit
# E above lowest polymorph: 216 meV/atom

# ZrCu2Pt PBE optimized geometry
data_ZrCu2Pt
_chemical_formula_sum 'Zr1 Cu2 Pt1'
_cell_length_a 4.1236
_cell_length_b 2.8920
_cell_length_c 5.3801
_cell_angle_alpha 74.45
_cell_angle_beta 90.00
_cell_angle_gamma 90.00
_space_group_name_H-M_alt 'P 1'
_space_group_IT_number 1
loop_
_space_group_symop_operation_xyz
'x,y,z'
loop_
_atom_site_label
_atom_site_fract_x
_atom_site_fract_y
_atom_site_fract_z
Cu1 0.0000 0.1790 0.0135
Cu2 0.5000 0.0661 0.2478
Pt1 0.0000 0.4515 0.4738
Zr1 0.5000 0.8035 0.7649
# ΔE_f: -0.33 eV/atom
# space-group type: Pm
# spin magnetization: 0.0 μB per formula unit

# CsZnHg4 PBE optimized geometry
data_CsZnHg4
_chemical_formula_sum 'Cs2 Zn2 Hg8'
_cell_length_a 6.0861
_cell_length_b 7.5824
_cell_length_c 9.8400
_cell_angle_alpha 112.66
_cell_angle_beta 107.94
_cell_angle_gamma 90.00
_space_group_name_H-M_alt 'P 1'
_space_group_IT_number 1
loop_
_space_group_symop_operation_xyz
'x,y,z'
loop_
_atom_site_label
_atom_site_fract_x
_atom_site_fract_y
_atom_site_fract_z
Cs1 0.2160 0.2165 0.4330
Cs2 0.7840 0.7835 0.5670
Zn1 0.7108 0.5007 0.0014
Zn2 0.2892 0.4993 0.9986
Hg1 0.8600 0.3620 0.7240
Hg2 0.5971 0.3003 0.1944
Hg3 0.0000 0.1909 0.0000
Hg4 0.4029 0.1059 0.8056
Hg5 0.1400 0.6380 0.2760
Hg6 0.4029 0.6997 0.8056
Hg7 0.0000 0.8091 0.0000
Hg8 0.5971 0.8941 0.1944
# ΔE_f: -0.11 eV/atom
# space-group type: C2/m
# spin magnetization: 0.0 μB per formula unit
# E above lowest polymorph: 0 meV/atom

no.,final energy (eV per atom)
1,-2.65
2,-5.75
3,-4.96
4,-3.72
5,-2.91
6,-2.33
7,-6.03
8,-0.66